Entry 1:
Below is an optimized crystal structure of CaPm2Sm5, with properties calculated at the PBE level.

Lattice parameters (Å, degrees): 3.662 11.416 9.001 129.36 101.74 90.00
Fractional positions:
Sm (0.634, 0.407, 0.268)
Sm (0.634, 0.861, 0.268)
Sm (0.366, 0.139, 0.732)
Sm (0.366, 0.593, 0.732)
Sm (0.000, 0.500, 0.000)
Ca (0.000, 0.000, 0.000)
Pm (0.743, 0.243, 0.486)
Pm (0.257, 0.757, 0.514)

Computed properties:
energy: -4.3401 eV/atom
N(E_F): 10.46 states/eV/f.u.
calculated formation energy: 0.05 eV per atom

***

Entry 2:
Below is an optimized crystal structure of CaPm4Sm15, with properties calculated at the PBE level.

Lattice parameters (Å, degrees): 5.153 5.153 25.761 90.00 90.00 90.00
Fractional positions:
Pm (0.000, 0.000, 0.400)
Pm (0.000, 0.000, 0.799)
Pm (0.000, 0.000, 0.201)
Pm (0.000, 0.000, 0.600)
Ca (0.000, 0.000, 0.000)
Sm (0.000, 0.500, 0.699)
Sm (0.000, 0.500, 0.500)
Sm (0.500, 0.000, 0.897)
Sm (0.500, 0.500, 0.200)
Sm (0.500, 0.000, 0.301)
Sm (0.500, 0.500, 0.800)
Sm (0.500, 0.500, 0.000)
Sm (0.500, 0.000, 0.103)
Sm (0.500, 0.000, 0.699)
Sm (0.500, 0.500, 0.600)
Sm (0.000, 0.500, 0.103)
Sm (0.000, 0.500, 0.897)
Sm (0.500, 0.000, 0.500)
Sm (0.500, 0.500, 0.400)
Sm (0.000, 0.500, 0.301)

Computed properties:
energy: -4.5606 eV/atom
N(E_F): 29.34 states/eV/f.u.
calculated formation energy: 0.03 eV per atom

***

Entry 3:
Below is an optimized crystal structure of CaPm2Sm, with properties calculated at the PBE level.

Lattice parameters (Å, degrees): 3.682 3.682 10.547 90.00 90.00 90.00
Fractional positions:
Sm (0.500, 0.500, 0.000)
Ca (0.500, 0.500, 0.500)
Pm (0.000, 0.000, 0.766)
Pm (0.000, 0.000, 0.234)

Computed properties:
energy: -4.0081 eV/atom
energy above the most stable polymorph in this dataset: 3 kJ/mol of formula units
N(E_F): 5.72 states/eV/f.u.
calculated formation energy: 0.05 eV per atom

***

Entry 4:
Below is an optimized crystal structure of CaPmSm2, with properties calculated at the PBE level.

Lattice parameters (Å, degrees): 3.606 3.606 13.004 82.03 82.03 60.00
Fractional positions:
Sm (0.091, 0.091, 0.728)
Sm (0.909, 0.909, 0.272)
Ca (0.000, 0.000, 0.000)
Pm (0.500, 0.500, 0.500)

Computed properties:
energy: -3.9085 eV/atom
energy above the most stable polymorph in this dataset: 36 kJ/mol of formula units
N(E_F): 5.57 states/eV/f.u.
calculated formation energy: 0.14 eV per atom

***

The lowest energy belongs to which entry?
CaPm4Sm15

***

Which of these has the lowest energy?
CaPm4Sm15